A plane-wave DFT calculation with PBE-GGA was carried out for an optimized crystal structure of BaLiPb2Au4.

Properties
N(E_F) = 7.764 states/eV/cell
Total magnetic moment = 0.000 μB/cell

a = 4.9247 Å, b = 4.9247 Å, c = 28.5828 Å
α = 90.00°, β = 90.00°, γ = 120.00°
Closest atoms and distances in Å follow each position.
Space group R-3m (No. 166, hexagonal axes)
Asymmetric unit:
Ba1 0.0000 0.0000 0.0000 [3 per cell]  6 Au 3.43
Li1 0.0000 0.0000 0.5000 [3 per cell]  8 Au 2.84-2.97
Pb1 0.0000 0.0000 0.2383 [6 per cell]  7 Au 2.89-3.09
Au1 0.0000 0.0000 0.1370 [6 per cell]  4 Pb 2.89-3.09, 3 Li 2.97
Au2 0.0000 0.0000 0.4006 [6 per cell]  1 Li 2.84, 3 Pb 2.95

=====

A plane-wave DFT calculation with PBE-GGA was carried out for an optimized crystal structure of Ba2LiPb3Au4.

Properties
N(E_F) = 4.558 states/eV/cell
Total magnetic moment = 0.000 μB/cell

a = 5.0241 Å, b = 5.0241 Å, c = 11.2210 Å
α = 90.00°, β = 90.00°, γ = 90.00°
Closest atoms and distances in Å follow each position.
Space group P-4m2 (No. 115)
Asymmetric unit:
Ba1 0.0000 0.5000 0.2396 [2 per cell]  8 Au 3.68-3.90, 6 Pb 3.76-3.85, 2 Li 3.85
Li1 0.0000 0.0000 0.5000 [1 per cell]  4 Au 2.84
Pb1 0.0000 0.5000 0.8706 [2 per cell]  5 Au 2.84-2.90
Pb2 0.5000 0.5000 0.5000 [1 per cell]  4 Au 2.84
Au1 0.0000 0.0000 0.0000 [1 per cell]  4 Pb 2.90
Au2 0.0000 0.5000 0.6173 [2 per cell]  3 Pb 2.84, 2 Li 2.84
Au3 0.5000 0.5000 0.0000 [1 per cell]  4 Pb 2.90

=====

A plane-wave DFT calculation with PBE-GGA was carried out for an optimized crystal structure of BaLiPbAu.

Properties
N(E_F) = 6.273 states/eV/cell
Total magnetic moment = 0.000 μB/cell

a = 7.5567 Å, b = 7.5567 Å, c = 7.5567 Å
α = 90.00°, β = 90.00°, γ = 90.00°
Closest atoms and distances in Å follow each position.
Space group F-43m (No. 216)
Asymmetric unit:
Ba1 0.0000 0.0000 0.0000 [4 per cell]  4 Li 3.27, 4 Au 3.27
Li1 0.2500 0.2500 0.7500 [4 per cell]  4 Ba 3.27, 4 Pb 3.27
Pb1 0.0000 0.0000 0.5000 [4 per cell]  4 Li 3.27, 4 Au 3.27
Au1 0.2500 0.2500 0.2500 [4 per cell]  4 Ba 3.27, 4 Pb 3.27

=====

no.,energy relative to the elements (eV per atom),density (g cm⁻³)
1,-0.397,11.2
2,-0.477,9.9
3,-0.410,8.4